Density functional theory data (SCAN) for YNiSe2 at its PBEsol-relaxed geometry.

Unit cell a=3.7886 b=3.7886 c=5.5522 alpha=90.00 beta=90.00 gamma=90.00
Closest atoms and distances in Å follow each position.
Fractional coordinates of all 4 atoms:
Ni 0.5000 0.5000 0.8041  5 Se 2.55-2.74
Se 0.0000 0.0000 0.9106  1 Y 2.61, 4 Ni 2.74
Se 0.5000 0.5000 0.3455  1 Ni 2.55, 4 Y 2.73
Y 0.0000 0.0000 0.4398  5 Se 2.61-2.73

spin magnetization: 1.1 Bohr magnetons per cell
D(E_F): 1.160 states/eV/f.u.
ΔE_f (raw): -1109 meV/atom
density: 6.4 Mg/m³



Density functional theory data (SCAN) for LiAl2Ag at its PBEsol-relaxed geometry.

Unit cell a=3.9642 b=3.9642 c=4.8597 alpha=114.07 beta=114.07 gamma=90.00
Closest atoms and distances in Å follow each position.
Fractional coordinates of all 4 atoms:
Al 0.7500 0.2500 0.5000  4 Al 2.80, 4 Ag 2.81, 4 Li 2.81
Al 0.2500 0.7500 0.5000  4 Al 2.80, 4 Li 2.81, 4 Ag 2.81
Ag 0.0000 0.0000 0.0000  4 Li 2.80, 8 Al 2.81
Li 0.5000 0.5000 0.0000  4 Ag 2.80, 8 Al 2.81

ΔE_f: -0.6 eV/f.u.
spin magnetization: 0.0 Bohr magnetons per cell
D(E_F): 1.599 states/eV/f.u.
energy above the lowest structure with this stoichiometry: 0.035 eV/atom
density: 4.5 Mg/m³



Density functional theory data (SCAN) for TePbSeN2 at its PBEsol-relaxed geometry.

Unit cell a=4.2169 b=4.2169 c=5.4240 alpha=90.00 beta=90.00 gamma=90.00
Closest atoms and distances in Å follow each position.
Fractional coordinates of all 5 atoms:
Pb 0.5000 0.5000 0.5000  4 Te 2.98
Te 0.0000 0.0000 0.5000  2 Se 2.71, 4 Pb 2.98
Se 0.0000 0.0000 0.0000  4 N 2.11
N 0.0000 0.5000 0.0000  2 Se 2.11
N 0.5000 0.0000 0.0000  2 Se 2.11

spin magnetization: 2.1 Bohr magnetons per cell
D(E_F): 2.911 states/eV/f.u.
ΔE_f (raw): 1473 meV/atom
density: 7.6 Mg/m³